First-principles (PBE) data for crystalline CeAgIBr4 at its relaxed geometry, as listed in Alexandria.

a = 7.685 Å, b = 7.685 Å, c = 12.464 Å
α = 66.15°, β = 66.15°, γ = 76.22°
Atoms (fractional coordinates):
Br 0.445 0.861 0.806
Br 0.576 0.576 0.327
Br 0.137 0.137 0.576
Br 0.861 0.445 0.806
Br 0.863 0.863 0.424
Br 0.424 0.424 0.673
Br 0.555 0.139 0.194
Br 0.139 0.555 0.194
Ce 0.840 0.840 0.212
Ce 0.160 0.160 0.788
I 0.141 0.141 0.048
I 0.859 0.859 0.952
Ag 0.657 0.657 0.654
Ag 0.343 0.343 0.346

Its magnetic moment is 0.00 μB per formula unit. The calculation puts the calculated total energy at -49.77 eV/cell. The crystal system is monoclinic. As for the space-group type: C2/m (12).

First-principles (PBE) data for crystalline Ac2DyPuO6 at its relaxed geometry, as listed in Alexandria.

a = 6.080 Å, b = 6.285 Å, c = 8.771 Å
α = 90.00°, β = 90.16°, γ = 90.00°
Last column: magnetic moment on the atom in μB.
Atoms (fractional coordinates):
Ac 0.485 0.450 0.253  0.03
Ac 0.015 0.950 0.247  0.03
Ac 0.515 0.550 0.747  0.03
Ac 0.985 0.050 0.753  0.03
O 0.377 0.941 0.755  -0.02
O 0.877 0.559 0.255  -0.02
O 0.197 0.193 0.061  -0.02
O 0.803 0.807 0.939  -0.02
O 0.696 0.296 0.929  -0.02
O 0.804 0.796 0.571  -0.02
O 0.303 0.693 0.439  -0.02
O 0.304 0.704 0.071  -0.02
O 0.623 0.059 0.245  -0.02
O 0.697 0.307 0.561  -0.02
O 0.196 0.204 0.429  -0.02
O 0.123 0.441 0.745  -0.02
Dy 0.500 0.000 0.000  0.02
Dy 0.000 0.500 0.500  0.02
Pu 0.000 0.500 0.000  4.90
Pu 0.500 0.000 0.500  4.90

Its magnetic moment is 5.00 μB per formula unit. The calculation puts the calculated total energy at -178.83 eV/cell. The crystal system is monoclinic. As for the space-group type: P2_1/c (14).

First-principles (PBE) data for crystalline CaScCo2 at its relaxed geometry, as listed in Alexandria.

a = 3.186 Å, b = 3.188 Å, c = 7.624 Å
α = 90.00°, β = 90.00°, γ = 90.00°
Last column: magnetic moment on the atom in μB.
Atoms (fractional coordinates):
Ca 0.500 0.500 0.808  0.02
Co 0.500 0.500 0.203  1.49
Co 0.000 0.000 0.078  1.48
Sc 0.000 0.000 0.411  -0.09

Its magnetic moment is 2.98 μB per formula unit. The energy of formation is 0.141 eV per atom. The crystal system is tetragonal. As for the space-group type: P4mm (99).

First-principles (PBE) data for crystalline Y2NbTe at its relaxed geometry, as listed in Alexandria.

a = 8.317 Å, b = 8.317 Å, c = 6.656 Å
α = 51.34°, β = 51.34°, γ = 90.00°
Last column: magnetic moment on the atom in μB.
Atoms (fractional coordinates):
Nb 0.500 0.500 0.000  0.91
Nb 0.250 0.750 0.500  0.91
Y 0.627 0.125 0.250  0.12
Y 0.375 0.373 0.750  0.16
Y 0.123 0.625 0.250  0.13
Y 0.875 0.877 0.750  0.17
Te 0.750 0.250 0.500  0.01
Te 0.000 0.000 0.000  0.01

Its magnetic moment is 1.51 μB per formula unit. The calculation puts the calculated total energy at -50.61 eV/cell. The crystal system is tetragonal. As for the space-group type: I-42d (122).

First-principles (PBE) data for crystalline Ce2Th5Sc5 at its relaxed geometry, as listed in Alexandria.

a = 4.787 Å, b = 7.692 Å, c = 10.287 Å
α = 72.86°, β = 76.54°, γ = 71.87°
Last column: magnetic moment on the atom in μB.
Atoms (fractional coordinates):
Th 0.000 0.000 0.000  0.00
Th 0.253 0.741 0.753  0.00
Th 0.747 0.259 0.247  0.00
Th 0.163 0.167 0.506  0.01
Th 0.837 0.833 0.494  0.01
Sc 0.666 0.666 0.002  0.01
Sc 0.582 0.083 0.753  0.01
Sc 0.500 0.500 0.500  0.01
Sc 0.334 0.334 0.998  0.01
Sc 0.418 0.917 0.247  0.01
Ce 0.083 0.583 0.252  0.13
Ce 0.917 0.417 0.748  0.13

Its magnetic moment is 0.42 μB per formula unit. The energy of formation is 0.050 eV per atom. The crystal system is monoclinic. As for the space-group type: C2/m (12).

First-principles (PBE) data for crystalline Co2AsOs at its relaxed geometry, as listed in Alexandria.

a = 3.695 Å, b = 3.666 Å, c = 3.666 Å
α = 90.00°, β = 90.00°, γ = 90.00°
Atoms (fractional coordinates):
As 0.500 0.000 0.500
Co 0.000 0.500 0.500
Co 0.000 0.000 0.000
Os 0.500 0.500 0.000

Its magnetic moment is 0.00 μB per formula unit. The energy of formation is 0.246 eV per atom. The crystal system is tetragonal. As for the space-group type: P4/mmm (123).

First-principles (PBE) data for crystalline KCeGaO4 at its relaxed geometry, as listed in Alexandria.

a = 6.248 Å, b = 6.248 Å, c = 7.083 Å
α = 90.00°, β = 90.00°, γ = 113.04°
Atoms (fractional coordinates):
O 0.793 0.812 0.750
O 0.812 0.793 0.250
O 0.232 0.768 0.471
O 0.232 0.768 0.029
O 0.768 0.232 0.529
O 0.768 0.232 0.971
O 0.188 0.207 0.750
O 0.207 0.188 0.250
K 0.500 0.500 0.500
K 0.500 0.500 0.000
Ga 0.138 0.862 0.250
Ga 0.862 0.138 0.750
Ce 0.851 0.149 0.250
Ce 0.149 0.851 0.750

Its magnetic moment is 0.00 μB per formula unit. The calculation puts the calculated total energy at -91.81 eV/cell. The crystal system is orthorhombic. As for the space-group type: Cmcm (63).

First-principles (PBE) data for crystalline Sr2ErCu2O6 at its relaxed geometry, as listed in Alexandria.

a = 5.921 Å, b = 5.921 Å, c = 6.680 Å
α = 63.69°, β = 63.69°, γ = 60.00°
Last column: magnetic moment on the atom in μB.
Atoms (fractional coordinates):
O 0.246 0.777 0.731  0.25
O 0.223 0.754 0.269  0.25
O 0.754 0.223 0.269  0.25
O 0.754 0.754 0.269  0.25
O 0.246 0.246 0.731  0.25
O 0.777 0.246 0.731  0.25
Cu 0.421 0.421 0.736  0.67
Cu 0.579 0.579 0.264  0.67
Er 0.000 0.000 0.000  0.03
Sr 0.795 0.795 0.616  0.00
Sr 0.205 0.205 0.384  0.00

Its magnetic moment is 3.08 μB per formula unit. The calculation puts the calculated total energy at -66.76 eV/cell. The crystal system is trigonal. As for the space-group type: R-3m (166).

First-principles (PBE) data for crystalline Al4CrGa2 at its relaxed geometry, as listed in Alexandria.

a = 7.089 Å, b = 7.089 Å, c = 5.584 Å
α = 129.40°, β = 129.40°, γ = 90.00°
Last column: magnetic moment on the atom in μB.
Atoms (fractional coordinates):
Al 0.807 0.192 0.998  -0.03
Al 0.808 0.808 0.002  -0.03
Al 0.193 0.193 0.002  -0.03
Al 0.192 0.807 0.998  -0.03
Ga 0.250 0.750 0.500  0.00
Ga 0.750 0.250 0.500  0.00
Cr 0.500 0.500 0.000  3.50

Its magnetic moment is 3.51 μB per formula unit. The energy of formation is 0.262 eV per atom. The crystal system is tetragonal. As for the space-group type: I4/mmm (139).

First-principles (PBE) data for crystalline TeMo3 at its relaxed geometry, as listed in Alexandria.

a = 4.899 Å, b = 4.899 Å, c = 3.172 Å
α = 90.00°, β = 90.00°, γ = 114.23°
Atoms (fractional coordinates):
Mo 0.500 0.000 0.500
Mo 0.500 0.500 0.000
Mo 0.000 0.500 0.500
Te 0.000 0.000 0.000

Its magnetic moment is 0.00 μB per formula unit. The calculation puts the calculated total energy at -33.66 eV/cell. The crystal system is orthorhombic. As for the space-group type: Cmmm (65).

First-principles (PBE) data for crystalline KInSe at its relaxed geometry, as listed in Alexandria.

a = 7.655 Å, b = 7.655 Å, c = 9.835 Å
α = 113.25°, β = 113.25°, γ = 89.19°
Atoms (fractional coordinates):
Se 0.274 0.274 0.000
Se 0.726 0.726 0.000
Se 0.524 0.024 0.500
Se 0.976 0.476 0.500
K 0.636 0.636 0.273
K 0.614 0.114 0.227
K 0.364 0.364 0.727
K 0.886 0.386 0.773
In 0.125 0.375 0.250
In 0.125 0.875 0.250
In 0.125 0.875 0.750
In 0.625 0.875 0.750

Its magnetic moment is 0.00 μB per formula unit. The calculation puts the calculated total energy at -35.23 eV/cell. The crystal system is orthorhombic. As for the space-group type: Fddd (70).

First-principles (PBE) data for crystalline CdHgMo2 at its relaxed geometry, as listed in Alexandria.

a = 5.533 Å, b = 5.533 Å, c = 5.533 Å
α = 145.42°, β = 127.69°, γ = 64.23°
Atoms (fractional coordinates):
Mo 0.778 0.278 0.500
Mo 0.972 0.972 0.000
Hg 0.242 0.742 0.500
Cd 0.507 0.507 0.000

Its magnetic moment is 0.00 μB per formula unit. The energy of formation is 0.443 eV per atom. The crystal system is orthorhombic. As for the space-group type: Imm2 (44).

First-principles (PBE) data for crystalline RuPt at its relaxed geometry, as listed in Alexandria.

a = 10.426 Å, b = 10.426 Å, c = 3.780 Å
α = 90.00°, β = 90.00°, γ = 90.00°
Atoms (fractional coordinates):
Ru 0.624 0.211 0.000
Ru 0.211 0.376 0.000
Ru 0.876 0.289 0.500
Ru 0.789 0.624 0.000
Ru 0.289 0.124 0.500
Ru 0.124 0.711 0.500
Ru 0.711 0.876 0.500
Ru 0.376 0.789 0.000
Pt 0.395 0.229 0.000
Pt 0.105 0.271 0.500
Pt 0.229 0.605 0.000
Pt 0.605 0.771 0.000
Pt 0.271 0.895 0.500
Pt 0.771 0.395 0.000
Pt 0.895 0.729 0.500
Pt 0.729 0.105 0.500

Its magnetic moment is 0.00 μB per formula unit. The energy of formation is 1.232 eV per atom. The crystal system is tetragonal. As for the space-group type: I4/m (87).

First-principles (PBE) data for crystalline NaMgTeBr at its relaxed geometry, as listed in Alexandria.

a = 4.791 Å, b = 4.791 Å, c = 14.211 Å
α = 80.30°, β = 80.30°, γ = 60.00°
Atoms (fractional coordinates):
Br 0.794 0.794 0.618
Br 0.206 0.206 0.382
Mg 0.307 0.307 0.079
Mg 0.693 0.693 0.921
Te 0.624 0.624 0.129
Te 0.376 0.376 0.871
Na 0.866 0.866 0.402
Na 0.134 0.134 0.598

Its magnetic moment is 0.00 μB per formula unit. The calculation puts the calculated total energy at -24.61 eV/cell. The crystal system is trigonal. As for the space-group type: R-3m (166).

First-principles (PBE) data for crystalline CdIn2Se at its relaxed geometry, as listed in Alexandria.

a = 6.310 Å, b = 6.310 Å, c = 6.310 Å
α = 144.58°, β = 134.50°, γ = 58.95°
Atoms (fractional coordinates):
Cd 0.750 0.250 0.500
In 0.466 0.466 0.000
In 0.034 0.034 0.000
Se 0.250 0.750 0.500

Its magnetic moment is 0.00 μB per formula unit. The calculation puts the calculated total energy at -10.26 eV/cell. The crystal system is orthorhombic. As for the space-group type: Immm (71).

First-principles (PBE) data for crystalline FeNi3Pt4 at its relaxed geometry, as listed in Alexandria.

a = 4.616 Å, b = 2.727 Å, c = 11.457 Å
α = 126.52°, β = 101.62°, γ = 90.00°
Last column: magnetic moment on the atom in μB.
Atoms (fractional coordinates):
Fe 0.500 0.000 0.000  3.11
Ni 0.754 0.271 0.508  0.77
Ni 0.246 0.729 0.492  0.77
Ni 0.000 0.500 0.000  0.74
Pt 0.372 0.858 0.743  0.21
Pt 0.122 0.611 0.245  0.22
Pt 0.628 0.142 0.257  0.21
Pt 0.878 0.389 0.755  0.22

Its magnetic moment is 6.15 μB per formula unit. The energy of formation is 0.013 eV per atom. The crystal system is orthorhombic. As for the space-group type: Immm (71).

First-principles (PBE) data for crystalline Y3InO at its relaxed geometry, as listed in Alexandria.

a = 19.273 Å, b = 6.584 Å, c = 6.955 Å
α = 90.00°, β = 143.43°, γ = 90.00°
Atoms (fractional coordinates):
In 0.401 0.949 0.422
In 0.099 0.449 0.078
In 0.901 0.551 0.922
In 0.599 0.051 0.578
O 0.735 0.047 0.364
O 0.765 0.547 0.136
O 0.265 0.953 0.636
O 0.235 0.453 0.864
Y 0.831 0.238 0.364
Y 0.335 0.468 0.357
Y 0.665 0.532 0.643
Y 0.331 0.262 0.864
Y 0.926 0.717 0.420
Y 0.426 0.783 0.920
Y 0.165 0.968 0.143
Y 0.669 0.738 0.136
Y 0.169 0.762 0.636
Y 0.074 0.283 0.580
Y 0.574 0.217 0.080
Y 0.835 0.032 0.857

Its magnetic moment is 0.00 μB per formula unit. The calculation puts the calculated total energy at -133.66 eV/cell. The crystal system is monoclinic. As for the space-group type: P2_1/c (14).

First-principles (PBE) data for crystalline CaScGaIr2 at its relaxed geometry, as listed in Alexandria.

a = 4.871 Å, b = 4.875 Å, c = 4.871 Å
α = 90.00°, β = 90.00°, γ = 90.00°
Atoms (fractional coordinates):
Ga 0.000 0.500 0.000
Ir 0.000 0.000 0.500
Ir 0.500 0.000 0.000
Ca 0.000 0.000 0.000
Sc 0.500 0.500 0.500

Its magnetic moment is 0.00 μB per formula unit. The energy of formation is 1.181 eV per atom. The crystal system is tetragonal. As for the space-group type: P4/mmm (123).

First-principles (PBE) data for crystalline Ca4CuNi at its relaxed geometry, as listed in Alexandria.

a = 6.398 Å, b = 6.398 Å, c = 6.398 Å
α = 60.00°, β = 60.00°, γ = 60.00°
Atoms (fractional coordinates):
Cu 0.750 0.750 0.750
Ni 0.000 0.000 0.000
Ca 0.375 0.876 0.375
Ca 0.375 0.375 0.876
Ca 0.375 0.375 0.375
Ca 0.876 0.375 0.375

Its magnetic moment is 0.00 μB per formula unit. The energy of formation is 0.858 eV per atom. The crystal system is cubic. As for the space-group type: F-43m (216).

First-principles (PBE) data for crystalline HfTa2Se4S2 at its relaxed geometry, as listed in Alexandria.

a = 3.496 Å, b = 3.496 Å, c = 21.504 Å
α = 90.00°, β = 90.00°, γ = 120.00°
Atoms (fractional coordinates):
Se 0.667 0.333 0.902
Se 0.667 0.333 0.058
Se 0.000 0.000 0.728
Se 0.000 0.000 0.572
Ta 0.000 0.000 0.980
Ta 0.667 0.333 0.650
Hf 0.000 0.000 0.329
S 0.667 0.333 0.403
S 0.667 0.333 0.256

Its magnetic moment is 0.01 μB per formula unit. The calculation puts the calculated total energy at -64.85 eV/cell. The crystal system is trigonal. As for the space-group type: P3m1 (156).

First-principles (PBE) data for crystalline Ti2GeHPt at its relaxed geometry, as listed in Alexandria.

a = 4.053 Å, b = 4.053 Å, c = 3.942 Å
α = 90.00°, β = 90.00°, γ = 90.00°
Atoms (fractional coordinates):
Ge 0.500 0.500 0.500
Ti 0.500 0.000 0.000
Ti 0.000 0.500 0.000
H 0.000 0.000 0.000
Pt 0.000 0.000 0.500

Its magnetic moment is 0.00 μB per formula unit. The calculation puts the calculated total energy at -32.64 eV/cell. The crystal system is tetragonal. As for the space-group type: P4/mmm (123).

First-principles (PBE) data for crystalline Ac3Cu2Pd3 at its relaxed geometry, as listed in Alexandria.

a = 4.455 Å, b = 6.077 Å, c = 15.966 Å
α = 90.00°, β = 90.00°, γ = 111.50°
Atoms (fractional coordinates):
Pd 0.688 0.375 0.750
Pd 0.594 0.188 0.446
Pd 0.594 0.188 0.054
Pd 0.406 0.812 0.554
Pd 0.406 0.812 0.946
Pd 0.312 0.625 0.250
Cu 0.828 0.656 0.884
Cu 0.828 0.656 0.616
Cu 0.172 0.344 0.116
Cu 0.172 0.344 0.384
Ac 0.595 0.191 0.250
Ac 0.874 0.749 0.409
Ac 0.126 0.251 0.591
Ac 0.874 0.749 0.091
Ac 0.126 0.251 0.909
Ac 0.405 0.809 0.750

Its magnetic moment is 0.00 μB per formula unit. The energy of formation is -0.600 eV per atom. The crystal system is orthorhombic. As for the space-group type: Cmcm (63).